No. 1
Compound: MgAg5
Source: Alexandria via LeMat-Bulk
Functional: GGA-PBEsol
Structure: optimized geometry

Lattice parameters (Å, degrees): 2.985 5.495 6.704 105.78 90.00 105.76
Sites, in units of the cell vectors:
Ag (0.671, 0.341, 0.340)
Ag (0.385, 0.769, 0.271)
Ag (0.003, 0.006, 0.008)
Ag (0.338, 0.675, 0.674)
Ag (0.053, 0.107, 0.605)
Mg (0.718, 0.435, 0.936)

## Properties
DOS at the Fermi energy ... 1.65 states/eV per cell
SG ... No. 8
Theoretical density ... 9.22 g/cm3
Total moment ... 0.00 μB/cell
Calculated formation energy ... -0.5 eV/f.u.
Electronic total energy ... -3.13 eV per atom

=====

No. 2
Compound: Mg5Ag3
Source: Alexandria via LeMat-Bulk
Functional: GGA-PBEsol
Structure: optimized geometry

Lattice parameters (Å, degrees): 5.542 8.039 8.039 120.00 90.00 90.00
Sites, in units of the cell vectors:
Ag (0.750, 0.399, 0.399)
Ag (0.250, 0.601, 0.601)
Ag (0.250, 0.000, 0.399)
Ag (0.750, 0.000, 0.601)
Ag (0.250, 0.399, 0.000)
Ag (0.750, 0.601, 0.000)
Mg (0.750, 0.000, 0.244)
Mg (0.250, 0.756, 0.000)
Mg (0.250, 0.000, 0.756)
Mg (0.500, 0.333, 0.667)
Mg (0.000, 0.333, 0.667)
Mg (0.500, 0.667, 0.333)
Mg (0.750, 0.756, 0.756)
Mg (0.250, 0.244, 0.244)
Mg (0.000, 0.667, 0.333)
Mg (0.750, 0.244, 0.000)

## Properties
DOS at the Fermi energy ... 5.87 states/eV per cell
Excess energy over the best structure of this formula in the dataset ... 13.8 meV/atom
SG ... No. 193
Theoretical density ... 4.77 g/cm3
Total moment ... 0.00 μB/cell
Calculated formation energy ... -1.4 eV/f.u.
Electronic total energy ... -2.48 eV per atom

=====

No. 3
Compound: Mg3Ag
Source: Alexandria via LeMat-Bulk
Functional: GGA-PBEsol
Structure: optimized geometry

Lattice parameters (Å, degrees): 5.270 7.705 8.321 90.00 90.00 90.00
Sites, in units of the cell vectors:
Mg (0.093, 0.976, 0.750)
Mg (0.606, 0.829, 0.561)
Mg (0.593, 0.524, 0.250)
Mg (0.606, 0.829, 0.939)
Mg (0.106, 0.671, 0.061)
Mg (0.106, 0.671, 0.439)
Mg (0.394, 0.171, 0.061)
Mg (0.394, 0.171, 0.439)
Mg (0.907, 0.024, 0.250)
Mg (0.407, 0.476, 0.750)
Mg (0.894, 0.329, 0.939)
Mg (0.894, 0.329, 0.561)
Ag (0.576, 0.130, 0.750)
Ag (0.076, 0.370, 0.250)
Ag (0.924, 0.630, 0.750)
Ag (0.424, 0.870, 0.250)

## Properties
DOS at the Fermi energy ... 6.50 states/eV per cell
SG ... No. 62
Theoretical density ... 3.55 g/cm3
Total moment ... 0.00 μB/cell
Calculated formation energy ... -0.5 eV/f.u.
Electronic total energy ... -2.24 eV per atom

=====

No. 4
Compound: Mg3Ag
Source: Alexandria via LeMat-Bulk
Functional: GGA-PBEsol
Structure: optimized geometry

Lattice parameters (Å, degrees): 4.714 4.714 8.563 90.00 90.00 120.00
Sites, in units of the cell vectors:
Ag (0.333, 0.667, 0.750)
Ag (0.667, 0.333, 0.250)
Mg (0.000, 0.000, 0.250)
Mg (0.667, 0.333, 0.923)
Mg (0.333, 0.667, 0.077)
Mg (0.333, 0.667, 0.423)
Mg (0.667, 0.333, 0.577)
Mg (0.000, 0.000, 0.750)

## Properties
DOS at the Fermi energy ... 2.25 states/eV per cell
SG ... No. 194
Theoretical density ... 3.64 g/cm3
Total moment ... 0.00 μB/cell
Calculated formation energy ... -0.5 eV/f.u.
Electronic total energy ... -2.24 eV per atom

=====

No. 5
Compound: Mg2MnAg
Source: Alexandria via LeMat-Bulk
Functional: GGA-PBEsol
Structure: optimized geometry

Lattice parameters (Å, degrees): 4.153 4.153 4.990 114.59 114.59 90.00
Site moments in Bohr magnetons follow the coordinates.
Sites, in units of the cell vectors:
Mg (0.750, 0.250, 0.500)  -0.02
Mg (0.000, 0.000, 0.000)  -0.02
Ag (0.250, 0.750, 0.500)  0.02
Mn (0.500, 0.500, 0.000)  3.67

## Properties
DOS at the Fermi energy ... 2.76 states/eV per cell
SG ... No. 119
Theoretical density ... 5.04 g/cm3
Total moment ... 3.87 μB/cell
Calculated formation energy ... 0.7 eV/f.u.
Electronic total energy ... -3.96 eV per atom

=====

No. 6
Compound: Mg2MnAg
Source: Alexandria via LeMat-Bulk
Functional: GGA-PBEsol
Structure: optimized geometry

Lattice parameters (Å, degrees): 3.295 4.601 5.435 115.04 107.64 90.00
Site moments in Bohr magnetons follow the coordinates.
Sites, in units of the cell vectors:
Mn (0.512, 0.512, 0.023)  3.66
Ag (0.243, 0.743, 0.486)  0.02
Mg (0.758, 0.258, 0.516)  -0.01
Mg (0.987, 0.987, 0.974)  -0.02

## Properties
DOS at the Fermi energy ... 1.99 states/eV per cell
SG ... No. 44
Theoretical density ... 4.99 g/cm3
Total moment ... 3.80 μB/cell
Calculated formation energy ... 0.6 eV/f.u.
Electronic total energy ... -3.97 eV per atom

=====

No. 7
Compound: Mg2MnAg
Source: Alexandria via LeMat-Bulk
Functional: GGA-PBEsol
Structure: optimized geometry

Lattice parameters (Å, degrees): 2.952 2.952 9.396 80.96 80.96 60.00
Site moments in Bohr magnetons follow the coordinates.
Sites, in units of the cell vectors:
Mn (0.500, 0.500, 0.500)  3.46
Mg (0.751, 0.751, 0.747)  -0.01
Mg (0.249, 0.249, 0.253)  -0.01
Ag (0.000, 0.000, 0.000)  0.00

## Properties
DOS at the Fermi energy ... 2.52 states/eV per cell
SG ... No. 166
Theoretical density ... 5.03 g/cm3
Total moment ... 3.54 μB/cell
Calculated formation energy ... 0.8 eV/f.u.
Electronic total energy ... -3.92 eV per atom

=====

No. 8
Compound: MgAg2Mo
Source: Alexandria via LeMat-Bulk
Functional: GGA-PBEsol
Structure: optimized geometry

Lattice parameters (Å, degrees): 2.731 4.172 5.802 90.00 89.73 90.00
Site moments in Bohr magnetons follow the coordinates.
Sites, in units of the cell vectors:
Ag (0.001, 0.000, 0.256)  0.01
Ag (0.999, 0.000, 0.744)  0.01
Mo (0.500, 0.500, 0.500)  0.26
Mg (0.500, 0.500, 0.000)  0.00

## Properties
DOS at the Fermi energy ... 2.98 states/eV per cell
SG ... No. 10
Theoretical density ... 8.44 g/cm3
Total moment ... 0.29 μB/cell
Calculated formation energy ... 1.3 eV/f.u.
Electronic total energy ... -4.71 eV per atom

=====

No. 9
Compound: MgAgMo
Source: Alexandria via LeMat-Bulk
Functional: GGA-PBEsol
Structure: optimized geometry

Lattice parameters (Å, degrees): 2.650 4.648 4.648 120.00 90.00 90.00
Sites, in units of the cell vectors:
Mo (0.333, 0.667, 0.333)
Ag (0.836, 0.000, 0.000)
Mg (0.831, 0.333, 0.667)

## Properties
DOS at the Fermi energy ... 3.56 states/eV per cell
SG ... No. 156
Theoretical density ... 7.64 g/cm3
Total moment ... 0.00 μB/cell
Calculated formation energy ... 1.6 eV/f.u.
Electronic total energy ... -5.07 eV per atom

=====

No. 10
Compound: MgAg2Mo
Source: Alexandria via LeMat-Bulk
Functional: GGA-PBEsol
Structure: optimized geometry

Lattice parameters (Å, degrees): 2.770 4.911 4.930 90.00 90.00 90.00
Sites, in units of the cell vectors:
Ag (0.000, 0.000, 0.000)
Ag (0.500, 0.000, 0.500)
Mo (0.000, 0.500, 0.500)
Mg (0.500, 0.500, 0.000)

## Properties
DOS at the Fermi energy ... 3.22 states/eV per cell
SG ... No. 47
Theoretical density ... 8.32 g/cm3
Total moment ... 0.00 μB/cell
Calculated formation energy ... 1.8 eV/f.u.
Electronic total energy ... -4.58 eV per atom

=====

No. 11
Compound: MgAg2Mo
Source: Alexandria via LeMat-Bulk
Functional: GGA-PBEsol
Structure: optimized geometry

Lattice parameters (Å, degrees): 2.700 4.585 5.383 90.00 97.18 90.00
Sites, in units of the cell vectors:
Mo (0.265, 0.500, 0.781)
Mg (0.508, 0.000, 0.472)
Ag (0.869, 0.500, 0.272)
Ag (0.858, 0.000, 0.975)

## Properties
DOS at the Fermi energy ... 3.68 states/eV per cell
SG ... No. 6
Theoretical density ... 8.44 g/cm3
Total moment ... 0.00 μB/cell
Calculated formation energy ... 1.4 eV/f.u.
Electronic total energy ... -4.69 eV per atom

=====

No. 12
Compound: MgAg2Mo
Source: Alexandria via LeMat-Bulk
Functional: GGA-PBEsol
Structure: optimized geometry

Lattice parameters (Å, degrees): 2.739 4.940 5.718 115.59 103.86 90.00
Site moments in Bohr magnetons follow the coordinates.
Sites, in units of the cell vectors:
Ag (0.004, 0.004, 0.008)  0.00
Ag (0.748, 0.248, 0.497)  0.01
Mg (0.494, 0.494, 0.987)  0.00
Mo (0.254, 0.754, 0.508)  0.22

## Properties
DOS at the Fermi energy ... 3.06 states/eV per cell
SG ... No. 44
Theoretical density ... 8.29 g/cm3
Total moment ... 0.25 μB/cell
Calculated formation energy ... 1.6 eV/f.u.
Electronic total energy ... -4.63 eV per atom